No. 1
## Ac6OsRu2 (PBE)

Data for an optimized crystal structure of Ac6OsRu2.

a b c (Å): 4.371 8.240 9.313
angles (deg): 97.87 103.57 90.00
Fractional positions:
Ac: 0.336 0.908 0.673
Ac: 0.003 0.242 0.006
Ac: 0.670 0.576 0.341
Ac: 0.997 0.758 0.994
Ac: 0.664 0.092 0.327
Ac: 0.330 0.424 0.659
Os: 0.500 0.000 0.000
Ru: 0.833 0.665 0.666
Ru: 0.167 0.335 0.334

Summary:
Energy of formation from the pure elements, meV per atom: -122
Total moment, μB per atom: 0.00
Raw total energy, eV for the cell shown: -55.53
Space group: C2/m, No. 12

=====

No. 2
## CrGeTe2 (PBE)

Data for an optimized crystal structure of CrGeTe2.

a b c (Å): 9.669 9.669 9.669
angles (deg): 20.40 20.40 20.40
Fractional positions:
Cr: 0.500 0.500 0.500
Ge: 0.000 0.000 0.000
Te: 0.894 0.894 0.894
Te: 0.106 0.106 0.106

Summary:
Total moment, μB per atom: 0.00
Raw total energy, eV for the cell shown: -19.49
Raw formation energy, eV/atom: 0.26
Space group: R-3m, No. 166

=====

No. 3
## LaMg5Pd2 (PBE)

Data for an optimized crystal structure of LaMg5Pd2.

a b c (Å): 4.202 6.905 6.905
angles (deg): 74.50 72.28 72.28
Fractional positions:
La: 0.000 0.000 0.000
Mg: 0.000 0.500 0.500
Mg: 0.660 0.525 0.155
Mg: 0.340 0.475 0.845
Mg: 0.340 0.845 0.475
Mg: 0.660 0.155 0.525
Pd: 0.732 0.768 0.768
Pd: 0.268 0.232 0.232

Summary:
Energy of formation from the pure elements, meV per atom: -469
Total moment, μB per atom: 0.00
Raw total energy, eV for the cell shown: -27.04
Space group: Immm, No. 71

=====

No. 4
## Ge2H2Au (PBE)

Data for an optimized crystal structure of Ge2H2Au.

a b c (Å): 6.581 6.581 3.548
angles (deg): 90.00 90.00 90.00
Fractional positions:
H: 0.147 0.647 0.500
H: 0.647 0.853 0.500
H: 0.853 0.353 0.500
H: 0.353 0.147 0.500
Ge: 0.135 0.635 0.000
Ge: 0.635 0.865 0.000
Ge: 0.865 0.365 0.000
Ge: 0.365 0.135 0.000
Au: 0.000 0.000 0.000
Au: 0.500 0.500 0.000

Summary:
Excess energy over the best structure of this formula in the dataset, meV/atom: 0
Total moment, μB per atom: 0.00
Raw total energy, eV for the cell shown: -36.07
Space group: P4/mbm, No. 127

=====

No. 5
## SiMoPb2 (PBE)

Data for an optimized crystal structure of SiMoPb2.

a b c (Å): 3.316 3.316 8.467
angles (deg): 90.00 90.00 90.00
Fractional positions:
Mo: 0.500 0.500 0.680
Pb: 0.000 0.000 0.935
Pb: 0.500 0.500 0.310
Si: 0.000 0.000 0.576

Summary:
Total moment, μB per atom: 0.00
Raw total energy, eV for the cell shown: -22.98
Raw formation energy, eV/atom: 0.17
Space group: P4mm, No. 99

=====

No. 6
## CsBaTlCl6 (PBE)

Data for an optimized crystal structure of CsBaTlCl6.

a b c (Å): 7.679 7.679 14.336
angles (deg): 90.00 90.00 120.00
Fractional positions:
Cs: 0.000 0.000 0.000
Cs: 0.000 0.000 0.500
Ba: 0.333 0.667 0.250
Ba: 0.667 0.333 0.750
Tl: 0.667 0.333 0.250
Tl: 0.333 0.667 0.750
Cl: 0.650 0.605 0.143
Cl: 0.956 0.350 0.143
Cl: 0.350 0.956 0.643
Cl: 0.044 0.650 0.857
Cl: 0.395 0.350 0.357
Cl: 0.956 0.605 0.357
Cl: 0.605 0.956 0.857
Cl: 0.650 0.044 0.357
Cl: 0.044 0.395 0.643
Cl: 0.395 0.044 0.143
Cl: 0.605 0.650 0.643
Cl: 0.350 0.395 0.857

Summary:
Total moment, μB per atom: 0.00
Raw total energy, eV for the cell shown: -61.11
Raw formation energy, eV/atom: -1.59
Space group: P-31c, No. 163

=====

Number 6 is which compound?
CsBaTlCl6